A geometry-optimized TiGaSn2 structure, computed with PBE.

Geometry as POSCAR:
```
TiGaSn2
1.0
-3.9283 3.9283 2.9229
3.9283 -3.9283 2.9229
3.9283 3.9283 -2.9229
Ti Ga Sn
2 2 4
Direct
0.0000 0.0000 0.0000
0.7500 0.2500 0.5000
0.2500 0.7500 0.5000
0.5000 0.5000 0.0000
0.1292 0.6250 0.0042
0.3750 0.3792 0.5042
0.6208 0.1250 0.9958
0.8750 0.8708 0.4958
```

* E_form: 169 meV per atom
* density of states at the Fermi level: 4.4 states/eV/f.u.